Be2PbCl | PBE | optimized geometry

Values from the calculation:
Formation energy from raw total energies: 1.46 eV/f.u.
Final energy: -23.10 eV/cell
Fermi-level density of states: 4.092 states/eV per cell
Size of the total moment: 0.00 μB/f.u.
Energy above the most stable polymorph in this dataset: 18.0 kJ/mol of atoms

Unit cell a=5.5128 b=5.5128 c=6.6694 alpha=65.59 beta=65.59 gamma=90.00
Positions (direct):
Be: 0.8750 0.8394 0.7500
Be: 0.5894 0.1250 0.2500
Be: 0.3750 0.4106 0.7500
Be: 0.1606 0.6250 0.2500
Pb: 0.7500 0.2500 0.5000
Pb: 0.0000 0.0000 0.0000
Cl: 0.5000 0.5000 0.0000
Cl: 0.2500 0.7500 0.5000



BePbCl2 | PBE | optimized geometry

Values from the calculation:
Formation energy from raw total energies: -2.58 eV/f.u.
Final energy: -13.71 eV/cell
Size of the total moment: 0.00 μB/f.u.
Energy above the most stable polymorph in this dataset: 9.4 kJ/mol of atoms

Unit cell a=3.2659 b=5.6787 c=7.1975 alpha=50.29 beta=90.00 gamma=90.00
Positions (direct):
Be: 0.5000 0.6603 0.8891
Pb: 0.0000 0.6446 0.5405
Cl: 0.0000 0.9276 0.8508
Cl: 0.5000 0.2675 0.2196



BePb2Cl | PBE | optimized geometry

Values from the calculation:
Formation energy from raw total energies: 0.17 eV/f.u.
Final energy: -12.82 eV/cell
Fermi-level density of states: 1.872 states/eV per cell
Size of the total moment: 0.00 μB/f.u.
Energy above the most stable polymorph in this dataset: 13.8 kJ/mol of atoms

Unit cell a=7.6934 b=7.6934 c=7.6934 alpha=30.35 beta=30.35 gamma=30.35
Positions (direct):
Be: 0.7500 0.7500 0.7500
Cl: 0.2500 0.2500 0.2500
Pb: 0.4798 0.4798 0.4798
Pb: 0.0202 0.0202 0.0202



BePb2Cl | PBE | optimized geometry

Values from the calculation:
Formation energy from raw total energies: 0.67 eV/f.u.
Final energy: -12.32 eV/cell
Fermi-level density of states: 1.770 states/eV per cell
Size of the total moment: 0.00 μB/f.u.
Energy above the most stable polymorph in this dataset: 25.8 kJ/mol of atoms

Unit cell a=3.7713 b=3.7713 c=8.0824 alpha=90.00 beta=90.00 gamma=90.00
Positions (direct):
Cl: 0.5000 0.5000 0.8153
Be: 0.0000 0.0000 0.3413
Pb: 0.5000 0.5000 0.3463
Pb: 0.0000 0.0000 0.9972



BePb2Cl | PBE | optimized geometry

Values from the calculation:
Formation energy from raw total energies: 1.22 eV/f.u.
Final energy: -11.77 eV/cell
Fermi-level density of states: 3.839 states/eV per cell
Size of the total moment: 0.00 μB/f.u.
Energy above the most stable polymorph in this dataset: 39.0 kJ/mol of atoms

Unit cell a=5.1284 b=5.1284 c=5.1284 alpha=60.00 beta=60.00 gamma=60.00
Positions (direct):
Pb: 0.2500 0.2500 0.2500
Pb: 0.7500 0.7500 0.7500
Cl: 0.5000 0.5000 0.5000
Be: 0.0000 0.0000 0.0000



Be2PbCl | PBE | optimized geometry

Values from the calculation:
Formation energy from raw total energies: 2.40 eV/f.u.
Final energy: -10.61 eV/cell
Fermi-level density of states: 1.414 states/eV per cell
Size of the total moment: 0.00 μB/f.u.
Energy above the most stable polymorph in this dataset: 40.8 kJ/mol of atoms

Unit cell a=5.1244 b=5.1244 c=5.1244 alpha=142.97 beta=103.52 gamma=88.16
Positions (direct):
Pb: 0.7500 0.2500 0.5000
Be: 0.0291 0.0291 0.0000
Be: 0.4709 0.4709 0.0000
Cl: 0.2500 0.7500 0.5000



Be2PbCl | PBE | optimized geometry

Values from the calculation:
Formation energy from raw total energies: 1.34 eV/f.u.
Final energy: -11.66 eV/cell
Fermi-level density of states: 0.864 states/eV per cell
Size of the total moment: 0.00 μB/f.u.
Energy above the most stable polymorph in this dataset: 15.3 kJ/mol of atoms

Unit cell a=3.4582 b=4.0124 c=5.2769 alpha=90.00 beta=90.00 gamma=90.00
Positions (direct):
Be: 0.0000 0.0000 0.9690
Be: 0.5000 0.5000 0.3458
Cl: 0.0000 0.0000 0.3481
Pb: 0.5000 0.5000 0.8371



BePb4Cl2 | PBE | optimized geometry

Values from the calculation:
Formation energy from raw total energies: 0.10 eV/f.u.
Final energy: -22.16 eV/cell
Fermi-level density of states: 3.677 states/eV per cell
Size of the total moment: 0.00 μB/f.u.

Unit cell a=5.2129 b=5.2129 c=8.6397 alpha=72.44 beta=72.44 gamma=90.00
Positions (direct):
Cl: 0.6076 0.6076 0.7848
Cl: 0.3924 0.3924 0.2152
Pb: 0.1720 0.1720 0.6560
Pb: 0.5000 0.0000 0.0000
Pb: 0.8280 0.8280 0.3440
Pb: 0.0000 0.5000 0.0000
Be: 0.0000 0.0000 0.0000



BePbCl2 | PBE | optimized geometry

Values from the calculation:
Formation energy from raw total energies: 0.47 eV/f.u.
Final energy: -10.65 eV/cell
Fermi-level density of states: 1.285 states/eV per cell
Size of the total moment: 0.00 μB/f.u.
Energy above the most stable polymorph in this dataset: 83.0 kJ/mol of atoms

Unit cell a=3.8596 b=3.8590 c=6.4912 alpha=90.00 beta=90.00 gamma=90.00
Positions (direct):
Cl: 0.0000 0.0000 0.0050
Cl: 0.0000 0.0000 0.4950
Pb: 0.5000 0.5000 0.2500
Be: 0.5000 0.5000 0.7500



BePbCl2 | PBE | optimized geometry

Values from the calculation:
Formation energy from raw total energies: -2.17 eV/f.u.
Final energy: -13.30 eV/cell
Fermi-level density of states: 0.979 states/eV per cell
Size of the total moment: 0.00 μB/f.u.
Energy above the most stable polymorph in this dataset: 19.3 kJ/mol of atoms

Unit cell a=6.8226 b=6.8226 c=5.6384 alpha=78.49 beta=78.49 gamma=26.69
Positions (direct):
Cl: 0.1088 0.1088 0.9089
Cl: 0.3023 0.3023 0.1155
Pb: 0.3745 0.3745 0.5683
Be: 0.7144 0.7144 0.9072



BePbCl | PBE | optimized geometry

Values from the calculation:
Formation energy from raw total energies: 0.46 eV/f.u.
Final energy: -8.82 eV/cell
Fermi-level density of states: 1.063 states/eV per cell
Size of the total moment: 0.00 μB/f.u.
Energy above the most stable polymorph in this dataset: 32.8 kJ/mol of atoms

Unit cell a=7.8298 b=7.8298 c=7.8298 alpha=156.99 beta=156.99 gamma=32.76
Positions (direct):
Pb: 0.6233 0.6233 0.0000
Be: 0.9776 0.9776 0.0000
Cl: 0.3991 0.3991 0.0000



BePbCl2 | PBE | optimized geometry

Values from the calculation:
Formation energy from raw total energies: 0.37 eV/f.u.
Final energy: -10.76 eV/cell
Fermi-level density of states: 0.973 states/eV per cell
Size of the total moment: 0.00 μB/f.u.
Energy above the most stable polymorph in this dataset: 80.5 kJ/mol of atoms

Unit cell a=6.0183 b=6.0183 c=6.0183 alpha=138.55 beta=138.55 gamma=60.06
Positions (direct):
Cl: 0.2500 0.7500 0.5000
Cl: 0.0000 0.0000 0.0000
Pb: 0.5000 0.5000 0.0000
Be: 0.7500 0.2500 0.5000



BePb2Cl | PBE | optimized geometry

Values from the calculation:
Formation energy from raw total energies: 0.55 eV/f.u.
Final energy: -12.44 eV/cell
Fermi-level density of states: 1.694 states/eV per cell
Size of the total moment: 0.00 μB/f.u.
Energy above the most stable polymorph in this dataset: 22.9 kJ/mol of atoms

Unit cell a=3.5637 b=4.8261 c=5.7766 alpha=90.00 beta=90.00 gamma=90.00
Positions (direct):
Pb: 0.5000 0.5000 0.3751
Pb: 0.0000 0.0000 0.8748
Cl: 0.5000 0.5000 0.8752
Be: 0.0000 0.0000 0.3749



Be2PbCl | PBE | optimized geometry

Values from the calculation:
Formation energy from raw total energies: 1.46 eV/f.u.
Final energy: -11.55 eV/cell
Fermi-level density of states: 1.740 states/eV per cell
Size of the total moment: 0.00 μB/f.u.
Energy above the most stable polymorph in this dataset: 18.0 kJ/mol of atoms

Unit cell a=5.5598 b=5.5598 c=5.5598 alpha=148.31 beta=117.07 gamma=72.19
Positions (direct):
Be: 0.0586 0.0586 0.0000
Be: 0.2536 0.7536 0.5000
Pb: 0.7679 0.2679 0.5000
Cl: 0.4199 0.4199 0.0000



BePbCl4 | PBE | optimized geometry

Values from the calculation:
Formation energy from raw total energies: -7.58 eV/f.u.
Final energy: -89.61 eV/cell
Fermi-level density of states: 0.000 states/eV per cell
Size of the total moment: 0.00 μB/f.u.
Energy above the most stable polymorph in this dataset: 0.0 kJ/mol of atoms

Unit cell a=7.7637 b=9.4243 c=8.6966 alpha=90.00 beta=90.00 gamma=102.03
Positions (direct):
Cl: 0.7559 0.3762 0.7951
Cl: 0.6910 0.0368 0.8820
Cl: 0.5727 0.7599 0.5061
Cl: 0.1910 0.5368 0.6180
Cl: 0.2559 0.8762 0.7049
Cl: 0.0103 0.1562 0.6399
Cl: 0.9897 0.8438 0.3601
Cl: 0.0727 0.2599 0.9939
Cl: 0.4273 0.2401 0.4939
Cl: 0.7441 0.1238 0.2951
Cl: 0.2441 0.6238 0.2049
Cl: 0.5103 0.6562 0.8601
Cl: 0.9273 0.7401 0.0061
Cl: 0.8090 0.4632 0.3820
Cl: 0.4897 0.3438 0.1399
Cl: 0.3090 0.9632 0.1180
Pb: 0.1072 0.3242 0.3534
Pb: 0.8928 0.6758 0.6466
Pb: 0.6072 0.8242 0.1466
Pb: 0.3928 0.1758 0.8534
Be: 0.1111 0.7844 0.1731
Be: 0.6111 0.2844 0.3269
Be: 0.8889 0.2156 0.8269
Be: 0.3889 0.7156 0.6731